# GGA-PBE ErSb4, relaxed
# energy relative to the elements, uncorrected	0.50	eV/atom
# magnetization	0.0	Bohr magnetons per cell
# E_tot	-18.56	eV per cell
# crystal system	cubic
data_ErSb4
_symmetry_space_group_name_H-M 'P m -3 m'
_symmetry_Int_Tables_number 221
_symmetry_space_group_name_Hall '-P 4 2 3'
_cell_length_a 5.701
_cell_length_b 5.701
_cell_length_c 5.701
_cell_angle_alpha 90.00
_cell_angle_beta 90.00
_cell_angle_gamma 90.00
loop_
_atom_site_label
_atom_site_fract_x
_atom_site_fract_y
_atom_site_fract_z
Er1 0.000 0.000 0.000
Sb1 0.000 0.000 0.500
Sb2 0.500 0.500 0.500

# GGA-PBE ErSb3, relaxed
# energy relative to the elements, uncorrected	-0.47	eV/atom
# distance to the lowest polymorph of the same formula	0	meV/atom
# magnetization	0.0	Bohr magnetons per cell
# E_tot	-18.79	eV per cell
# crystal system	orthorhombic
data_ErSb3
_symmetry_space_group_name_H-M 'P m m 2'
_symmetry_Int_Tables_number 25
_cell_length_a 4.364
_cell_length_b 6.168
_cell_length_c 4.495
_cell_angle_alpha 90.00
_cell_angle_beta 90.00
_cell_angle_gamma 90.00
loop_
_symmetry_equiv_pos_as_xyz
'x,y,z'
'-x,-y,z'
'-x,y,z'
'x,-y,z'
loop_
_atom_site_label
_atom_site_fract_x
_atom_site_fract_y
_atom_site_fract_z
Er1 0.000 0.000 0.000
Sb1 0.000 0.500 0.894
Sb2 0.500 0.000 0.488
Sb3 0.500 0.500 0.328

# GGA-PBE ErSb5, relaxed
# energy relative to the elements, uncorrected	-0.19	eV/atom
# magnetization	0.0	Bohr magnetons per cell
# E_tot	-52.60	eV per cell
# crystal system	orthorhombic
data_ErSb5
_symmetry_space_group_name_H-M 'C m m m'
_symmetry_Int_Tables_number 65
_symmetry_space_group_name_Hall '-C 2 2'
_cell_length_a 4.287
_cell_length_b 16.780
_cell_length_c 4.658
_cell_angle_alpha 90.00
_cell_angle_beta 90.00
_cell_angle_gamma 90.00
loop_
_atom_site_label
_atom_site_fract_x
_atom_site_fract_y
_atom_site_fract_z
Er1 0.000 0.000 0.000
Sb1 0.000 0.152 0.500
Sb2 0.000 0.347 0.000
Sb3 0.000 0.500 0.500

# GGA-PBE Er3Sb2, relaxed
# energy relative to the elements, uncorrected	-0.75	eV/atom
# distance to the lowest polymorph of the same formula	0	meV/atom
# magnetization	0.0	Bohr magnetons per cell
# E_tot	-102.79	eV per cell
# crystal system	orthorhombic
data_Er3Sb2
_symmetry_space_group_name_H-M 'I b a m'
_symmetry_Int_Tables_number 72
_symmetry_space_group_name_Hall '-I 2 2c'
_cell_length_a 8.358
_cell_length_b 11.480
_cell_length_c 6.198
_cell_angle_alpha 90.00
_cell_angle_beta 90.00
_cell_angle_gamma 90.00
loop_
_atom_site_label
_atom_site_fract_x
_atom_site_fract_y
_atom_site_fract_z
Er1 0.000 0.000 0.250
Er2 0.146 0.346 0.000
Sb1 0.210 0.392 0.500

# GGA-PBE ErSb3, relaxed
# energy relative to the elements, uncorrected	-0.36	eV/atom
# distance to the lowest polymorph of the same formula	105	meV/atom
# magnetization	0.0	Bohr magnetons per cell
# E_tot	-36.75	eV per cell
# crystal system	hexagonal
data_ErSb3
_symmetry_space_group_name_H-M 'P 63/m m c'
_symmetry_Int_Tables_number 194
_symmetry_space_group_name_Hall '-P 6c 2c'
_cell_length_a 6.5862
_cell_length_b 6.5862
_cell_length_c 5.7243
_cell_angle_alpha 90.00
_cell_angle_beta 90.00
_cell_angle_gamma 120.00
loop_
_atom_site_label
_atom_site_fract_x
_atom_site_fract_y
_atom_site_fract_z
Er1 0.3333 0.6667 0.2500
Sb1 0.1753 0.3505 0.7500

# GGA-PBE Er5Sb2, relaxed
# energy relative to the elements, uncorrected	-0.58	eV/atom
# distance to the lowest polymorph of the same formula	55	meV/atom
# magnetization	0.0	Bohr magnetons per cell
# E_tot	-140.53	eV per cell
# crystal system	monoclinic
data_Er5Sb2
_symmetry_space_group_name_H-M 'C 1 2/c 1'
_symmetry_Int_Tables_number 15
_cell_length_a 15.992
_cell_length_b 6.297
_cell_length_c 8.075
_cell_angle_alpha 90.00
_cell_angle_beta 96.46
_cell_angle_gamma 90.00
loop_
_symmetry_equiv_pos_as_xyz
'x,y,z'
'-x,-y,-z'
'-x,y,-z+1/2'
'x,-y,z+1/2'
'x+1/2,y+1/2,z'
'-x+1/2,-y+1/2,-z'
'-x+1/2,y+1/2,-z+1/2'
'x+1/2,-y+1/2,z+1/2'
loop_
_atom_site_label
_atom_site_fract_x
_atom_site_fract_y
_atom_site_fract_z
Er1 0.000 0.160 0.250
Er2 0.097 0.372 0.934
Er3 0.227 0.101 0.314
Sb1 0.102 0.168 0.585

# GGA-PBE Er4Sb3, relaxed
# energy relative to the elements, uncorrected	-0.82	eV/atom
# distance to the lowest polymorph of the same formula	124	meV/atom
# magnetization	0.0	Bohr magnetons per cell
# E_tot	-109.16	eV per cell
# crystal system	trigonal
data_Er4Sb3
_symmetry_space_group_name_H-M 'R -3 m'
_symmetry_Int_Tables_number 166
_symmetry_space_group_name_Hall '-R 3 2"'
_cell_length_a 4.3322
_cell_length_b 4.3322
_cell_length_c 39.1727
_cell_angle_alpha 90.00
_cell_angle_beta 90.00
_cell_angle_gamma 120.00
loop_
_atom_site_label
_atom_site_fract_x
_atom_site_fract_y
_atom_site_fract_z
Er1 0.0000 0.0000 0.1228
Er2 0.0000 0.0000 0.3677
Sb1 0.0000 0.0000 0.2567
Sb2 0.0000 0.0000 0.5000

# GGA-PBE Er3Sb2, relaxed
# energy relative to the elements, uncorrected	-0.68	eV/atom
# distance to the lowest polymorph of the same formula	72	meV/atom
# magnetization	0.0	Bohr magnetons per cell
# E_tot	-25.34	eV per cell
# crystal system	trigonal
data_Er3Sb2
_symmetry_space_group_name_H-M 'P -3 m 1'
_symmetry_Int_Tables_number 164
_symmetry_space_group_name_Hall '-P 3 2"'
_cell_length_a 5.1792
_cell_length_b 5.1792
_cell_length_c 6.3436
_cell_angle_alpha 90.00
_cell_angle_beta 90.00
_cell_angle_gamma 120.00
loop_
_atom_site_label
_atom_site_fract_x
_atom_site_fract_y
_atom_site_fract_z
Er1 0.0000 0.0000 0.0000
Er2 0.3333 0.6667 0.3017
Sb1 0.3333 0.6667 0.7860